A plane-wave DFT calculation with PBE-GGA was carried out for crystalline Nb2Ga2As at its relaxed geometry.

```
Nb2Ga2As
1.0
-1.9207 1.9207 6.5049
1.9207 -1.9207 6.5049
1.9207 1.9207 -6.5049
Nb Ga As
2 2 1
direct
0.2500 0.7500 0.5000
0.7500 0.2500 0.5000
0.0937 0.0937 0.0000
0.9063 0.9063 0.0000
0.5000 0.5000 0.0000
```

## Properties
E above lowest polymorph ... 603.6 meV per atom
Energy relative to the elements ... 357 meV/atom